# YIr2, optimized geometry, DFT PBE
data_YIr2
_chemical_formula_sum 'Y2 Ir4'
_symmetry_space_group_name_H-M 'P 1'
_symmetry_Int_Tables_number 1
_cell_length_a 6.7290
_cell_length_b 6.7290
_cell_length_c 4.1385
_cell_angle_alpha 90.00
_cell_angle_beta 90.00
_cell_angle_gamma 144.82
loop_
_symmetry_equiv_pos_as_xyz
'x,y,z'
loop_
_atom_site_label
_atom_site_fract_x
_atom_site_fract_y
_atom_site_fract_z
_atom_site_occupancy
Y1 0.9071 0.0929 0.7500 1
Y2 0.0929 0.9071 0.2500 1
Ir1 0.5943 0.4057 0.7500 1
Ir2 0.4057 0.5943 0.2500 1
Ir3 0.2506 0.7494 0.7500 1
Ir4 0.7494 0.2506 0.2500 1
# Symmetry = Cmcm (63)
# Size of the total moment = 0.000 μB/cell
# Energy of formation from the pure elements = -0.35 eV per atom
# N(E_F) = 6.689 states/eV/cell